Material: BaY2MgTi
Method: DFT, PBE
State: relaxed

Structure (CIF):
```
data_BaY2MgTi
_space_group_name_H-M_alt 'P 4/m m m'
_space_group_IT_number 123
_space_group_name_Hall '-P 4 2'
_cell_length_a 5.685
_cell_length_b 5.685
_cell_length_c 5.531
_cell_angle_alpha 90.00
_cell_angle_beta 90.00
_cell_angle_gamma 90.00
loop_
_atom_site_label
_atom_site_type_symbol
_atom_site_fract_x
_atom_site_fract_y
_atom_site_fract_z
_atom_site_occupancy
Ba1 Ba 0.000 0.000 0.000 1
Y1 Y 0.000 0.500 0.000 1
Mg1 Mg 0.000 0.000 0.500 1
Ti1 Ti 0.500 0.500 0.500 1
```

Results
total magnetic moment: 2.52 μB per cell
formation energy: 1474 meV/atom